A plane-wave DFT calculation with GGA-PBE was carried out for crystalline Tb4HoSc5 at its relaxed geometry.

Properties
Its symmetry is No. 107. As for the formation energy: 238 meV/atom. The density comes out at 5.9 g/cm³. The calculation puts the energy at -5.237 eV per atom.

abc: 7.724 7.724 7.724
angles: 97.57 97.57 137.44
Atoms (fractional coordinates):
1 Tb 0.000 0.321 0.321
2 Tb 0.000 0.679 0.679
3 Tb 0.321 0.000 0.321
4 Tb 0.679 0.000 0.679
5 Ho 0.251 0.251 0.000
6 Sc 0.333 0.333 0.621
7 Sc 0.333 0.713 0.000
8 Sc 0.713 0.333 0.000
9 Sc 0.713 0.713 0.379
10 Sc 0.769 0.769 0.000

A plane-wave DFT calculation with GGA-PBE was carried out for crystalline Tb2Ho3Sc at its relaxed geometry.

Properties
Its symmetry is No. 15. As for the formation energy: 35 meV/atom. The density comes out at 7.9 g/cm³. The calculation puts the energy at -4.852 eV per atom. The distance to the lowest polymorph of the same formula comes out at 0 meV per atom.

abc: 9.237 9.237 6.051
angles: 90.06 90.06 44.45
Atoms (fractional coordinates):
1 Tb 0.039 0.291 0.415
2 Tb 0.291 0.039 0.915
3 Tb 0.709 0.961 0.085
4 Tb 0.961 0.709 0.585
5 Ho 0.128 0.872 0.250
6 Ho 0.213 0.460 0.080
7 Ho 0.460 0.213 0.580
8 Ho 0.540 0.787 0.420
9 Ho 0.787 0.540 0.920
10 Ho 0.872 0.128 0.750
11 Sc 0.377 0.623 0.750
12 Sc 0.623 0.377 0.250

A plane-wave DFT calculation with GGA-PBE was carried out for crystalline Tb3Ho7Sc2 at its relaxed geometry.

Properties
Its symmetry is No. 10. As for the formation energy: 103 meV/atom. The density comes out at 7.8 g/cm³. The calculation puts the energy at -4.780 eV per atom.

abc: 5.725 3.497 18.270
angles: 90.00 93.32 90.00
Atoms (fractional coordinates):
1 Tb 0.000 0.000 0.000
2 Tb 0.278 0.500 0.634
3 Tb 0.722 0.500 0.366
4 Ho 0.189 0.500 0.147
5 Ho 0.243 0.000 0.462
6 Ho 0.308 0.000 0.818
7 Ho 0.500 0.500 0.000
8 Ho 0.692 0.000 0.182
9 Ho 0.757 0.000 0.538
10 Ho 0.811 0.500 0.853
11 Sc 0.211 0.000 0.295
12 Sc 0.789 0.000 0.705

A plane-wave DFT calculation with GGA-PBE was carried out for crystalline Tb7Ho2Sc2 at its relaxed geometry.

Properties
Its symmetry is No. 44. As for the formation energy: 171 meV/atom. The density comes out at 7.3 g/cm³. The calculation puts the energy at -4.759 eV per atom. The distance to the lowest polymorph of the same formula comes out at 136 meV per atom.

abc: 10.527 10.527 10.527
angles: 160.35 66.38 117.31
Atoms (fractional coordinates):
1 Tb 0.000 0.000 0.000
2 Tb 0.041 0.729 0.313
3 Tb 0.339 0.491 0.847
4 Tb 0.416 0.729 0.687
5 Tb 0.633 0.272 0.361
6 Tb 0.644 0.491 0.153
7 Tb 0.911 0.272 0.639
8 Ho 0.354 0.854 0.500
9 Ho 0.652 0.652 0.000
10 Sc 0.182 0.988 0.194
11 Sc 0.794 0.988 0.806

A plane-wave DFT calculation with GGA-PBE was carried out for crystalline Tb3Ho4Sc at its relaxed geometry.

Properties
Its symmetry is No. 140. As for the formation energy: 88 meV/atom. The density comes out at 8.1 g/cm³. The calculation puts the energy at -4.728 eV per atom. The distance to the lowest polymorph of the same formula comes out at 73 meV per atom.

abc: 8.872 8.872 8.872
angles: 121.26 121.26 87.84
Atoms (fractional coordinates):
1 Tb 0.147 0.647 0.794
2 Tb 0.250 0.250 0.000
3 Tb 0.353 0.147 0.500
4 Tb 0.647 0.853 0.500
5 Tb 0.750 0.750 0.000
6 Tb 0.853 0.353 0.206
7 Ho 0.011 0.813 0.500
8 Ho 0.187 0.687 0.198
9 Ho 0.313 0.511 0.500
10 Ho 0.489 0.989 0.802
11 Ho 0.511 0.011 0.198
12 Ho 0.687 0.489 0.500
13 Ho 0.813 0.313 0.802
14 Ho 0.989 0.187 0.500
15 Sc 0.000 0.000 0.000
16 Sc 0.500 0.500 0.000

A plane-wave DFT calculation with GGA-PBE was carried out for crystalline Tb4Ho2Sc at its relaxed geometry.

Properties
Its symmetry is No. 11. As for the formation energy: 141 meV/atom. The density comes out at 7.8 g/cm³. The calculation puts the energy at -4.718 eV per atom. The distance to the lowest polymorph of the same formula comes out at 0 meV per atom.

abc: 6.055 6.492 11.341
angles: 90.00 105.00 90.00
Atoms (fractional coordinates):
1 Tb 0.037 0.250 0.369
2 Tb 0.150 0.250 0.942
3 Tb 0.355 0.506 0.214
4 Tb 0.355 0.994 0.214
5 Tb 0.645 0.006 0.786
6 Tb 0.645 0.494 0.786
7 Tb 0.850 0.750 0.058
8 Tb 0.963 0.750 0.631
9 Ho 0.282 0.750 0.922
10 Ho 0.388 0.750 0.500
11 Ho 0.612 0.250 0.500
12 Ho 0.718 0.250 0.078
13 Sc 0.153 0.250 0.663
14 Sc 0.847 0.750 0.337

A plane-wave DFT calculation with GGA-PBE was carried out for crystalline TbHo4Sc2 at its relaxed geometry.

Properties
Its symmetry is No. 166. As for the formation energy: 23 meV/atom. The density comes out at 7.4 g/cm³. The calculation puts the energy at -5.064 eV per atom. The distance to the lowest polymorph of the same formula comes out at 0 meV per atom.

abc: 19.543 19.543 19.543
angles: 10.22 10.22 10.22
Atoms (fractional coordinates):
1 Tb 0.000 0.000 0.000
2 Ho 0.099 0.099 0.099
3 Ho 0.383 0.383 0.383
4 Ho 0.617 0.617 0.617
5 Ho 0.901 0.901 0.901
6 Sc 0.188 0.188 0.188
7 Sc 0.812 0.812 0.812

A plane-wave DFT calculation with GGA-PBE was carried out for crystalline TbHoSc6 at its relaxed geometry.

Properties
Its symmetry is No. 187. As for the formation energy: 18 meV/atom. The density comes out at 4.7 g/cm³. The calculation puts the energy at -5.881 eV per atom.

abc: 6.777 6.777 5.296
angles: 90.00 90.00 120.00
Atoms (fractional coordinates):
1 Tb 0.000 0.000 0.000
2 Ho 0.667 0.333 0.500
3 Sc 0.007 0.503 0.000
4 Sc 0.170 0.341 0.500
5 Sc 0.170 0.830 0.500
6 Sc 0.497 0.503 0.000
7 Sc 0.497 0.993 0.000
8 Sc 0.659 0.830 0.500